The following is a DFT calculation (GGA-PBE) of a relaxed structure of YU4Se8.

As for the crystal system: trigonal. As for the total magnetization: 10.950 μB per formula unit. The uncorrected formation energy comes out at -16.3 eV/f.u. As for the calculated total energy: -7.37 eV/atom.

Cell and atoms, written as POSCAR:
```
YU4Se8
1.0
4.041 2.333 6.768
-4.041 2.333 6.768
0.000 -4.666 6.768
Y U Se
1 4 8
Direct
0.000 0.000 0.000
0.000 0.000 0.500
0.000 0.500 0.000
0.500 0.000 0.000
0.500 0.500 0.500
0.245 0.245 0.245
0.250 0.250 0.749
0.250 0.749 0.250
0.251 0.750 0.750
0.749 0.250 0.250
0.750 0.251 0.750
0.750 0.750 0.251
0.755 0.755 0.755
```